# 1
First-principles (GGA-PBE) data for K2AgHgF6 after structural relaxation, as listed in OQMD.

SG   I4/m (87)
Energy relative to the lowest polymorph listed for this composition   0.004 eV per atom
Uncorrected energy   -35.4 eV for the cell shown

a b c (Å): 6.152 6.152 6.152
angles (deg): 121.60 121.60 87.26
Fractional positions:
Ag (0.500, 0.500, 0.000)
F (0.252, 0.252, 0.000)
F (0.748, 0.748, 0.000)
F (0.329, 0.824, 0.153)
F (0.824, 0.671, 0.495)
F (0.176, 0.329, 0.505)
F (0.671, 0.176, 0.847)
Hg (0.000, 0.000, 0.000)
K (0.750, 0.250, 0.500)
K (0.250, 0.750, 0.500)

=====

# 2
First-principles (GGA-PBE) data for Cu2Ag after structural relaxation, as listed in OQMD.

SG   Immm (71)
E_form   0.26 eV/f.u.
Energy relative to the lowest polymorph listed for this composition   0.039 eV per atom
Uncorrected energy   -30.0 eV for the cell shown

a b c (Å): 12.765 12.765 12.765
angles (deg): 167.56 163.81 20.47
Fractional positions:
Ag (0.000, 0.000, 0.000)
Ag (0.117, 0.117, 0.000)
Ag (0.883, 0.883, 0.000)
Cu (0.225, 0.225, 0.000)
Cu (0.324, 0.324, 0.000)
Cu (0.442, 0.442, 0.000)
Cu (0.558, 0.558, 0.000)
Cu (0.676, 0.676, 0.000)
Cu (0.775, 0.775, 0.000)

=====

# 3
First-principles (GGA-PBE) data for TmTc3C after structural relaxation, as listed in OQMD.

SG   Pm-3m (221)
Uncorrected energy   -44.9 eV for the cell shown

a b c (Å): 4.201 4.201 4.201
angles (deg): 90.00 90.00 90.00
Fractional positions:
C (0.000, 0.000, 0.000)
Tc (0.500, 0.000, 0.000)
Tc (0.000, 0.500, 0.000)
Tc (0.000, 0.000, 0.500)
Tm (0.500, 0.500, 0.500)

=====

Among the records above, which one has the lowest uncorrected energy?
TmTc3C

=====

Look up the uncorrected energy of the third one.
-44.9 eV for the cell shown

=====

uncorrected energy of number 2 (Cu2Ag)?
-30.0 eV for the cell shown

=====

uncorrected energy of number 3 (TmTc3C)?
-44.9 eV for the cell shown